The following is a DFT calculation (PBE-GGA) of an optimized crystal structure of Nb2ZnRu2.

Calculated values
Volume in Å³ per cell: 171.1
Formation enthalpy at 0 K in meV per atom: 78.7
DOS at the Fermi energy in states/eV/f.u.: 4.2
Uncorrected energy in eV per atom: -7.9143
SG: P4/mbm, No. 127

abc: 7.586 7.586 2.974
angles: 90.00 90.00 90.00
Atoms (fractional coordinates):
Nb (0.151, 0.349, 0.000)
Nb (0.349, 0.849, 0.000)
Nb (0.651, 0.151, 0.000)
Nb (0.849, 0.651, 0.000)
Zn (0.000, 0.000, 0.000)
Zn (0.500, 0.500, 0.000)
Ru (0.145, 0.645, 0.500)
Ru (0.355, 0.145, 0.500)
Ru (0.645, 0.855, 0.500)
Ru (0.855, 0.355, 0.500)

---

The following is a DFT calculation (PBE-GGA) of an optimized crystal structure of CuNi.

Calculated values
Volume in Å³ per cell: 22.6
Formation enthalpy at 0 K in meV per atom: 16.2
DOS at the Fermi energy in states/eV/f.u.: 2.2
Uncorrected energy in eV per atom: -4.9225
SG: R-3m, No. 166

abc: 4.376 4.376 4.376
angles: 33.41 33.41 33.41
Atoms (fractional coordinates):
Cu (0.000, 0.000, 0.000)
Ni (0.500, 0.500, 0.500)

---

The following is a DFT calculation (PBE-GGA) of an optimized crystal structure of SrLiCdF6.

Calculated values
Volume in Å³ per cell: 138.6
DOS at the Fermi energy in states/eV/f.u.: 5.6
Uncorrected formation energy in eV/f.u.: -23.81
Uncorrected energy in eV per atom: -4.3947
SG: P312, No. 149

abc: 5.467 5.467 5.354
angles: 90.00 90.00 120.00
Atoms (fractional coordinates):
Sr (0.000, 0.000, 0.000)
Li (0.333, 0.667, 0.500)
Cd (0.667, 0.333, 0.500)
F (0.016, 0.367, 0.722)
F (0.016, 0.648, 0.278)
F (0.352, 0.367, 0.278)
F (0.352, 0.984, 0.722)
F (0.633, 0.648, 0.722)
F (0.633, 0.984, 0.278)

---

The following is a DFT calculation (PBE-GGA) of an optimized crystal structure of LiNdZnPt.

Calculated values
Volume in Å³ per cell: 77.3
Formation enthalpy at 0 K in meV per atom: -549.9
DOS at the Fermi energy in states/eV/f.u.: 3.2
Uncorrected energy in eV per atom: -4.0490
SG: F-43m, No. 216

abc: 4.781 4.781 4.781
angles: 60.00 60.00 60.00
Atoms (fractional coordinates):
Li (0.000, 0.000, 0.000)
Nd (0.250, 0.250, 0.250)
Zn (0.750, 0.750, 0.750)
Pt (0.500, 0.500, 0.500)